Compound: NaTaBr6
Source: the Alexandria database
Functional: PBE-GGA
Structure: relaxed

Summary:
Raw formation energy (eV/atom): -1.045
Calculated total energy (eV/atom): -3.9465
Energy above the lowest structure with this stoichiometry (meV/atom): 5

The structure in CIF format:
```
data_NaTaBr6
_chemical_formula_sum 'Na3 Ta3 Br18'
_symmetry_space_group_name_H-M 'R -3'
_symmetry_Int_Tables_number 148
_symmetry_space_group_name_Hall '-R 3'
_cell_length_a 7.0274
_cell_length_b 7.0274
_cell_length_c 18.9208
_cell_angle_alpha 90.00
_cell_angle_beta 90.00
_cell_angle_gamma 120.00
loop_
_atom_site_label
_atom_site_fract_x
_atom_site_fract_y
_atom_site_fract_z
_atom_site_occupancy
Na1 0.0000 0.0000 0.0000 1
Ta1 0.0000 0.0000 0.5000 1
Br1 0.0149 0.7119 0.4232 1
```

***

Compound: NaTa3Br
Source: the Alexandria database
Functional: PBE-GGA
Structure: relaxed

Summary:
Raw formation energy (eV/atom): 2.563
Calculated total energy (eV/atom): -5.1467
Energy above the lowest structure with this stoichiometry (meV/atom): 939

The structure in CIF format:
```
data_NaTa3Br
_chemical_formula_sum 'Na1 Ta3 Br1'
_symmetry_space_group_name_H-M 'P m -3 m'
_symmetry_Int_Tables_number 221
_symmetry_space_group_name_Hall '-P 4 2 3'
_cell_length_a 4.798
_cell_length_b 4.798
_cell_length_c 4.798
_cell_angle_alpha 90.00
_cell_angle_beta 90.00
_cell_angle_gamma 90.00
loop_
_atom_site_label
_atom_site_fract_x
_atom_site_fract_y
_atom_site_fract_z
_atom_site_occupancy
Na1 0.000 0.000 0.000 1
Ta1 0.000 0.000 0.500 1
Br1 0.500 0.500 0.500 1
```